Below is a geometry-optimized Sr2CoNiN structure, with properties calculated at the PBE level.

abc: 5.3554 5.3554 3.5088
angles: 90.00 90.00 90.00
Atoms (fractional coordinates):
Sr 0.0000 0.5000 0.0000
Sr 0.5000 0.0000 0.0000
Co 0.0000 0.0000 0.5000
Ni 0.5000 0.5000 0.5000
N 0.0000 0.0000 0.0000

M_tot: 0.11 μB per formula unit
D(E_F): 3.0 states/eV/cell
symmetry: P4/mmm, No. 123
raw formation energy: -19.0 kJ per mole of atoms

Below is a geometry-optimized GdGaNiAg structure, with properties calculated at the PBE level.

abc: 4.7061 4.7061 4.7061
angles: 60.00 60.00 60.00
Atoms (fractional coordinates):
Gd 0.0000 0.0000 0.0000
Ga 0.5000 0.5000 0.5000
Ni 0.7500 0.7500 0.7500
Ag 0.2500 0.2500 0.2500

M_tot: 7.22 μB per formula unit
final energy: -6.69 eV per atom
D(E_F): 3.7 states/eV/cell
symmetry: F-43m, No. 216

Below is a geometry-optimized LiTb2CuS4 structure, with properties calculated at the PBE level.

abc: 6.5098 3.8881 6.8729
angles: 90.00 113.34 90.00
Atoms (fractional coordinates):
Li 0.0000 0.0000 0.0000
Tb 0.5000 0.0000 0.5000
Tb 0.5000 0.5000 0.0000
Cu 0.0000 0.5000 0.5000
S 0.2348 0.0000 0.7323
S 0.2457 0.5000 0.2362
S 0.7543 0.5000 0.7638
S 0.7652 0.0000 0.2677

M_tot: 0.00 μB per formula unit
symmetry: P2/m, No. 10
raw formation energy: -146.6 kJ per mole of atoms

Below is a geometry-optimized Be2HgRuCl structure, with properties calculated at the PBE level.

abc: 4.3049 4.3049 5.3599
angles: 90.00 90.00 90.00
Atoms (fractional coordinates):
Be 0.0000 0.5000 0.0000
Be 0.5000 0.0000 0.0000
Hg 0.0000 0.0000 0.5000
Ru 0.0000 0.0000 0.0000
Cl 0.5000 0.5000 0.5000

M_tot: 0.00 μB per formula unit
D(E_F): 6.2 states/eV/cell
symmetry: P4/mmm, No. 123
raw formation energy: 77.4 kJ per mole of atoms

Below is a geometry-optimized La2TmC2Cl2 structure, with properties calculated at the PBE level.

abc: 8.1350 8.1350 8.1350
angles: 147.63 147.63 46.43
Atoms (fractional coordinates):
La 0.1055 0.1055 0.0000
La 0.8945 0.8945 0.0000
Tm 0.5000 0.5000 0.0000
C 0.0000 0.5000 0.5000
C 0.5000 0.0000 0.5000
Cl 0.3115 0.3115 0.0000
Cl 0.6885 0.6885 0.0000

M_tot: 0.00 μB per formula unit
D(E_F): 1.2 states/eV/cell
symmetry: I4/mmm, No. 139
raw formation energy: -89.4 kJ per mole of atoms

Below is a geometry-optimized BaNa2F structure, with properties calculated at the PBE level.

abc: 7.4297 7.4297 7.4297
angles: 120.12 120.12 89.80
Atoms (fractional coordinates):
Ba 0.3750 0.6250 0.7500
Ba 0.6250 0.3750 0.2500
Na 0.0000 0.0000 0.0000
Na 0.0000 0.0000 0.5000
Na 0.0000 0.5000 0.0000
Na 0.5000 0.0000 0.5000
F 0.1250 0.8750 0.2500
F 0.8750 0.1250 0.7500

M_tot: 0.00 μB per formula unit
D(E_F): 8.1 states/eV/cell
symmetry: I4_1/amd, No. 141
raw formation energy: -108.3 kJ per mole of atoms
relative energy among the computed polymorphs: 0 meV per atom

Below is a geometry-optimized Er2Tl2SnS6 structure, with properties calculated at the PBE level.

abc: 6.7684 6.7684 7.9846
angles: 98.46 98.46 119.86
Atoms (fractional coordinates):
Er 0.1682 0.8318 0.0000
Er 0.8318 0.1682 0.0000
Tl 0.3284 0.6716 0.5000
Tl 0.6716 0.3284 0.5000
Sn 0.5000 0.5000 0.0000
S 0.1120 0.4320 0.8072
S 0.2507 0.2507 0.1916
S 0.4320 0.1120 0.8072
S 0.5680 0.8880 0.1928
S 0.7493 0.7493 0.8084
S 0.8880 0.5680 0.1928

M_tot: 0.00 μB per formula unit
symmetry: C2/m, No. 12
raw formation energy: -112.2 kJ per mole of atoms

Below is a geometry-optimized ScZn2Co structure, with properties calculated at the PBE level.

abc: 3.0859 3.0859 6.4118
angles: 90.00 90.00 90.00
Atoms (fractional coordinates):
Sc 0.0000 0.0000 0.0000
Zn 0.0000 0.0000 0.5578
Zn 0.5000 0.5000 0.3202
Co 0.5000 0.5000 0.7675

M_tot: 0.34 μB per formula unit
final energy: -4.19 eV per atom
D(E_F): 2.1 states/eV/cell
symmetry: P4mm, No. 99

Below is a geometry-optimized Ac2ZnIn12 structure, with properties calculated at the PBE level.

abc: 6.9797 6.9797 17.3691
angles: 90.00 90.00 90.00
Atoms (fractional coordinates):
Ac 0.2500 0.7500 0.2456
Ac 0.2500 0.7500 0.7544
Ac 0.7500 0.2500 0.2456
Ac 0.7500 0.2500 0.7544
Zn 0.2500 0.7500 0.0000
Zn 0.7500 0.2500 0.0000
In 0.0007 0.5007 0.0869
In 0.0007 0.9993 0.9131
In 0.0844 0.5844 0.5704
In 0.0844 0.9156 0.4296
In 0.2500 0.2500 0.1825
In 0.2500 0.2500 0.3433
In 0.2500 0.2500 0.6567
In 0.2500 0.2500 0.8175
In 0.4156 0.5844 0.4296
In 0.4156 0.9156 0.5704
In 0.4993 0.5007 0.9131
In 0.4993 0.9993 0.0869
In 0.5007 0.0007 0.9131
In 0.5007 0.4993 0.0869
In 0.5844 0.0844 0.4296
In 0.5844 0.4156 0.5704
In 0.7500 0.7500 0.1825
In 0.7500 0.7500 0.3433
In 0.7500 0.7500 0.6567
In 0.7500 0.7500 0.8175
In 0.9156 0.0844 0.5704
In 0.9156 0.4156 0.4296
In 0.9993 0.0007 0.0869
In 0.9993 0.4993 0.9131

M_tot: 0.00 μB per formula unit
final energy: -3.01 eV per atom
D(E_F): 6.9 states/eV/cell
symmetry: P4/nbm, No. 125

Below is a geometry-optimized CaCo2Os structure, with properties calculated at the PBE level.

abc: 9.0466 9.0466 9.0466
angles: 17.69 17.69 17.69
Atoms (fractional coordinates):
Ca 0.0000 0.0000 0.0000
Co 0.2416 0.2416 0.2416
Co 0.7584 0.7584 0.7584
Os 0.5000 0.5000 0.5000

M_tot: 2.66 μB per formula unit
D(E_F): 4.2 states/eV/cell
symmetry: R-3m, No. 166
relative energy among the computed polymorphs: 323 meV per atom

Below is a geometry-optimized CsCd2F structure, with properties calculated at the PBE level.

abc: 5.9638 5.9638 5.9638
angles: 60.00 60.00 60.00
Atoms (fractional coordinates):
Cs 0.0000 0.0000 0.0000
Cd 0.2500 0.2500 0.2500
Cd 0.7500 0.7500 0.7500
F 0.5000 0.5000 0.5000

M_tot: 0.00 μB per formula unit
D(E_F): 0.0 states/eV/cell
symmetry: Fm-3m, No. 225
raw formation energy: -56.1 kJ per mole of atoms
relative energy among the computed polymorphs: 286 meV per atom

Below is a geometry-optimized BaNiPb structure, with properties calculated at the PBE level.

abc: 5.3430 5.3430 5.3430
angles: 60.00 60.00 60.00
Atoms (fractional coordinates):
Ba 0.0000 0.0000 0.0000
Ni 0.7500 0.7500 0.7500
Pb 0.2500 0.2500 0.2500

M_tot: 0.00 μB per formula unit
final energy: -3.07 eV per atom
D(E_F): 4.3 states/eV/cell
symmetry: F-43m, No. 216

Q: Among the records above, which one has the highest M_tot?
A: GdGaNiAg